(1)
# CaAcZnAu

A relaxed CaAcZnAu crystal (PBE-GGA, Alexandria via LeMat-Bulk).

Output
- Energy: -3.1838 eV/atom
- ΔE to the lowest computed polymorph: 0.011 eV per atom
- Calculated volume: 27.50 Å³/atom
- Formation energy from the elements: -200.1 kJ/mol of formula units

Lattice parameters (Å, degrees): 5.378 5.378 5.378 60.00 60.00 60.00
Atoms (fractional coordinates):
Ac 0.750 0.750 0.750
Ca 0.250 0.250 0.250
Au 0.500 0.500 0.500
Zn 0.000 0.000 0.000

(2)
# CaAcZn2Au4

A relaxed CaAcZn2Au4 crystal (PBE-GGA, Alexandria via LeMat-Bulk).

Output
- Energy: -3.3204 eV/atom
- Calculated volume: 22.86 Å³/atom
- Formation energy from the elements: -462.7 kJ/mol of formula units

Lattice parameters (Å, degrees): 4.599 4.599 10.329 77.14 77.14 60.00
Atoms (fractional coordinates):
Ca 0.500 0.500 0.500
Ac 0.000 0.000 0.000
Zn 0.756 0.756 0.731
Zn 0.244 0.244 0.269
Au 0.397 0.397 0.810
Au 0.890 0.890 0.331
Au 0.110 0.110 0.669
Au 0.603 0.603 0.190

(3)
# CaAcZn2Au5

A relaxed CaAcZn2Au5 crystal (PBE-GGA, Alexandria via LeMat-Bulk).

Output
- Energy: -3.2974 eV/atom
- Calculated volume: 22.31 Å³/atom
- Formation energy from the elements: -446.9 kJ/mol of formula units

Lattice parameters (Å, degrees): 4.665 4.665 9.228 90.00 90.00 90.00
Atoms (fractional coordinates):
Ca 0.000 0.000 0.000
Ac 0.000 0.000 0.500
Zn 0.500 0.500 0.133
Zn 0.500 0.500 0.867
Au 0.000 0.500 0.257
Au 0.500 0.000 0.257
Au 0.000 0.500 0.743
Au 0.500 0.000 0.743
Au 0.500 0.500 0.500

(4)
# CaAcZnAu

A relaxed CaAcZnAu crystal (PBE-GGA, Alexandria via LeMat-Bulk).

Output
- Energy: -3.1950 eV/atom
- ΔE to the lowest computed polymorph: 0.000 eV per atom
- Calculated volume: 28.69 Å³/atom
- Formation energy from the elements: -204.4 kJ/mol of formula units

Lattice parameters (Å, degrees): 4.185 4.682 6.220 90.00 109.66 90.00
Atoms (fractional coordinates):
Ca 0.863 0.500 0.726
Ac 0.144 0.000 0.288
Zn 0.426 0.000 0.852
Au 0.567 0.500 0.134

(5)
# AcCd2Au4

A relaxed AcCd2Au4 crystal (PBE-GGA, Alexandria via LeMat-Bulk).

Output
- Energy: -3.2586 eV/atom
- Calculated volume: 22.04 Å³/atom
- Formation energy from the elements: -363.0 kJ/mol of formula units

Lattice parameters (Å, degrees): 5.681 5.935 5.935 76.76 61.40 61.40
Atoms (fractional coordinates):
Ac 0.000 0.000 0.000
Cd 0.750 0.500 0.500
Cd 0.250 0.500 0.500
Au 0.694 0.000 0.613
Au 0.306 0.000 0.387
Au 0.306 0.387 0.000
Au 0.694 0.613 0.000

(6)
# AcCdAu4

A relaxed AcCdAu4 crystal (PBE-GGA, Alexandria via LeMat-Bulk).

Output
- Energy: -3.5020 eV/atom
- ΔE to the lowest computed polymorph: 0.000 eV per atom
- Calculated volume: 22.28 Å³/atom
- Formation energy from the elements: -277.8 kJ/mol of formula units

Lattice parameters (Å, degrees): 5.739 5.739 5.739 60.00 60.00 60.00
Atoms (fractional coordinates):
Ac 0.000 0.000 0.000
Au 0.624 0.624 0.128
Au 0.624 0.128 0.624
Au 0.624 0.624 0.624
Au 0.128 0.624 0.624
Cd 0.250 0.250 0.250

(7)
# AcCd4Au

A relaxed AcCd4Au crystal (PBE-GGA, Alexandria via LeMat-Bulk).

Output
- Energy: -1.9778 eV/atom
- ΔE to the lowest computed polymorph: 0.190 eV per atom
- Calculated volume: 25.39 Å³/atom
- Formation energy from the elements: -79.2 kJ/mol of formula units

Lattice parameters (Å, degrees): 5.995 5.995 5.995 60.00 60.00 60.00
Atoms (fractional coordinates):
Ac 0.250 0.250 0.250
Au 0.000 0.000 0.000
Cd 0.626 0.626 0.122
Cd 0.626 0.122 0.626
Cd 0.626 0.626 0.626
Cd 0.122 0.626 0.626

(8)
# AcCd3Au

A relaxed AcCd3Au crystal (PBE-GGA, Alexandria via LeMat-Bulk).

Output
- Energy: -2.4197 eV/atom
- ΔE to the lowest computed polymorph: 0.000 eV per atom
- Calculated volume: 26.01 Å³/atom
- Formation energy from the elements: -189.8 kJ/mol of formula units

Lattice parameters (Å, degrees): 5.897 6.415 7.326 90.00 110.15 90.00
Atoms (fractional coordinates):
Ac 0.745 0.948 0.939
Ac 0.289 0.448 0.621
Cd 0.788 0.448 0.164
Cd 0.246 0.948 0.397
Cd 0.741 0.176 0.468
Cd 0.741 0.719 0.468
Cd 0.294 0.676 0.092
Cd 0.294 0.219 0.092
Au 0.862 0.448 0.809
Au 0.173 0.948 0.752

(9)
# AcCd4Au2

A relaxed AcCd4Au2 crystal (PBE-GGA, Alexandria via LeMat-Bulk).

Output
- Energy: -2.4549 eV/atom
- ΔE to the lowest computed polymorph: 0.000 eV per atom
- Calculated volume: 24.14 Å³/atom
- Formation energy from the elements: -276.0 kJ/mol of formula units

Lattice parameters (Å, degrees): 4.467 8.699 8.699 90.00 90.00 90.00
Atoms (fractional coordinates):
Ac 0.500 0.000 0.000
Ac 0.000 0.500 0.500
Au 0.000 0.198 0.802
Au 0.000 0.802 0.198
Au 0.500 0.698 0.698
Au 0.500 0.302 0.302
Cd 0.000 0.093 0.343
Cd 0.000 0.907 0.657
Cd 0.500 0.157 0.593
Cd 0.500 0.843 0.407
Cd 0.500 0.407 0.843
Cd 0.500 0.593 0.157
Cd 0.000 0.343 0.093
Cd 0.000 0.657 0.907

(10)
# AcCd6Au3

A relaxed AcCd6Au3 crystal (PBE-GGA, Alexandria via LeMat-Bulk).

Output
- Energy: -2.2539 eV/atom
- Calculated volume: 23.12 Å³/atom
- Formation energy from the elements: -299.9 kJ/mol of formula units

Lattice parameters (Å, degrees): 4.748 9.420 10.352 86.84 90.00 90.00
Atoms (fractional coordinates):
Ac 0.750 0.082 0.750
Ac 0.250 0.918 0.250
Cd 0.750 0.394 0.521
Cd 0.250 0.606 0.479
Cd 0.750 0.756 0.022
Cd 0.250 0.244 0.978
Cd 0.750 0.381 0.122
Cd 0.250 0.619 0.878
Cd 0.750 0.623 0.300
Cd 0.250 0.377 0.700
Cd 0.750 0.138 0.365
Cd 0.250 0.862 0.635
Cd 0.750 0.669 0.699
Cd 0.250 0.331 0.301
Au 0.750 0.409 0.853
Au 0.250 0.591 0.147
Au 0.750 0.849 0.469
Au 0.250 0.151 0.531
Au 0.750 0.070 0.079
Au 0.250 0.930 0.921

(11)
# Ac2Cd5Au12

A relaxed Ac2Cd5Au12 crystal (PBE-GGA, Alexandria via LeMat-Bulk).

Output
- Energy: -3.1051 eV/atom
- Calculated volume: 21.63 Å³/atom
- Formation energy from the elements: -663.4 kJ/mol of formula units

Lattice parameters (Å, degrees): 7.524 7.524 7.524 80.77 80.77 80.77
Atoms (fractional coordinates):
Ac 0.648 0.648 0.648
Ac 0.352 0.352 0.352
Cd 0.000 0.000 0.500
Cd 0.000 0.500 0.000
Cd 0.500 0.000 0.000
Cd 0.902 0.902 0.902
Cd 0.098 0.098 0.098
Au 0.300 0.700 0.000
Au 0.700 0.000 0.300
Au 0.000 0.300 0.700
Au 0.700 0.300 0.000
Au 0.300 0.000 0.700
Au 0.000 0.700 0.300
Au 0.362 0.362 0.849
Au 0.362 0.849 0.362
Au 0.849 0.362 0.362
Au 0.638 0.151 0.638
Au 0.638 0.638 0.151
Au 0.151 0.638 0.638

(12)
# Ac2CdAu9

A relaxed Ac2CdAu9 crystal (PBE-GGA, Alexandria via LeMat-Bulk).

Output
- Energy: -3.5629 eV/atom
- Calculated volume: 22.72 Å³/atom
- Formation energy from the elements: -398.1 kJ/mol of formula units

Lattice parameters (Å, degrees): 5.849 5.849 9.802 72.64 72.64 60.00
Atoms (fractional coordinates):
Ac 0.865 0.865 0.405
Ac 0.135 0.135 0.595
Cd 0.000 0.000 0.000
Au 0.667 0.667 0.000
Au 0.333 0.333 0.000
Au 0.500 0.500 0.500
Au 0.414 0.414 0.250
Au 0.922 0.414 0.250
Au 0.414 0.922 0.250
Au 0.586 0.586 0.750
Au 0.586 0.078 0.750
Au 0.078 0.586 0.750

(13)
# Ac3Cd4Au4

A relaxed Ac3Cd4Au4 crystal (PBE-GGA, Alexandria via LeMat-Bulk).

Output
- Energy: -3.2421 eV/atom
- Calculated volume: 26.41 Å³/atom
- Formation energy from the elements: -633.7 kJ/mol of formula units

Lattice parameters (Å, degrees): 4.499 8.248 9.130 116.85 104.26 90.00
Atoms (fractional coordinates):
Ac 0.124 0.124 0.247
Ac 0.876 0.876 0.753
Ac 0.000 0.500 0.000
Cd 0.327 0.136 0.655
Cd 0.673 0.481 0.345
Cd 0.673 0.864 0.345
Cd 0.327 0.519 0.655
Au 0.223 0.723 0.446
Au 0.777 0.277 0.554
Au 0.500 0.808 0.000
Au 0.500 0.192 0.000

(14)
# Ac2CdAu

A relaxed Ac2CdAu crystal (PBE-GGA, Alexandria via LeMat-Bulk).

Output
- Energy: -3.5096 eV/atom
- ΔE to the lowest computed polymorph: 0.132 eV per atom
- Calculated volume: 36.07 Å³/atom
- Formation energy from the elements: -157.2 kJ/mol of formula units

Lattice parameters (Å, degrees): 4.318 4.318 9.274 76.54 76.54 60.00
Atoms (fractional coordinates):
Ac 0.259 0.259 0.222
Ac 0.741 0.741 0.778
Au 0.000 0.000 0.000
Cd 0.500 0.500 0.500

(15)
# AcCd2Au3

A relaxed AcCd2Au3 crystal (PBE-GGA, Alexandria via LeMat-Bulk).

Output
- Energy: -3.1030 eV/atom
- ΔE to the lowest computed polymorph: 0.018 eV per atom
- Calculated volume: 24.55 Å³/atom
- Formation energy from the elements: -274.7 kJ/mol of formula units

Lattice parameters (Å, degrees): 5.687 7.197 7.197 90.81 90.00 90.00
Atoms (fractional coordinates):
Ac 0.250 0.260 0.260
Ac 0.750 0.740 0.740
Cd 0.500 0.755 0.245
Cd 0.000 0.755 0.245
Cd 0.000 0.245 0.755
Cd 0.500 0.245 0.755
Au 0.750 0.448 0.092
Au 0.750 0.092 0.448
Au 0.250 0.552 0.908
Au 0.750 0.059 0.059
Au 0.250 0.941 0.941
Au 0.250 0.908 0.552

(16)
# Ac2CdAu

A relaxed Ac2CdAu crystal (PBE-GGA, Alexandria via LeMat-Bulk).

Output
- Energy: -3.6079 eV/atom
- ΔE to the lowest computed polymorph: 0.034 eV per atom
- Calculated volume: 31.77 Å³/atom
- Formation energy from the elements: -195.1 kJ/mol of formula units

Lattice parameters (Å, degrees): 5.643 5.643 5.643 60.00 60.00 60.00
Atoms (fractional coordinates):
Ac 0.250 0.250 0.250
Ac 0.750 0.750 0.750
Au 0.000 0.000 0.000
Cd 0.500 0.500 0.500

(17)
# Ac3Cd3Au8

A relaxed Ac3Cd3Au8 crystal (PBE-GGA, Alexandria via LeMat-Bulk).

Output
- Energy: -3.5585 eV/atom
- Calculated volume: 24.25 Å³/atom
- Formation energy from the elements: -822.9 kJ/mol of formula units

Lattice parameters (Å, degrees): 4.753 9.070 9.070 66.10 74.81 74.81
Atoms (fractional coordinates):
Ac 0.500 0.500 0.500
Ac 0.788 0.212 0.212
Ac 0.212 0.788 0.788
Cd 0.500 0.000 0.000
Cd 0.000 0.811 0.189
Cd 0.000 0.189 0.811
Au 0.637 0.072 0.655
Au 0.363 0.928 0.345
Au 0.637 0.655 0.072
Au 0.363 0.345 0.928
Au 0.842 0.797 0.518
Au 0.158 0.203 0.482
Au 0.842 0.518 0.797
Au 0.158 0.482 0.203

(18)
# Ac4CdAu

A relaxed Ac4CdAu crystal (PBE-GGA, Alexandria via LeMat-Bulk).

Output
- Energy: -3.6368 eV/atom
- ΔE to the lowest computed polymorph: 0.135 eV per atom
- Calculated volume: 41.14 Å³/atom
- Formation energy from the elements: -115.3 kJ/mol of formula units

Lattice parameters (Å, degrees): 7.678 8.223 7.869 90.00 96.37 90.00
Atoms (fractional coordinates):
Ac 0.889 0.653 0.158
Ac 0.611 0.153 0.842
Ac 0.320 0.336 0.344
Ac 0.180 0.836 0.656
Ac 0.111 0.347 0.842
Ac 0.389 0.847 0.158
Ac 0.680 0.664 0.656
Ac 0.820 0.164 0.344
Cd 0.000 0.000 0.000
Cd 0.500 0.500 0.000
Au 0.500 0.000 0.500
Au 0.000 0.500 0.500

(19)
# Ac2CdAu3

A relaxed Ac2CdAu3 crystal (PBE-GGA, Alexandria via LeMat-Bulk).

Output
- Energy: -3.8808 eV/atom
- ΔE to the lowest computed polymorph: 0.000 eV per atom
- Calculated volume: 27.34 Å³/atom
- Formation energy from the elements: -416.9 kJ/mol of formula units

Lattice parameters (Å, degrees): 6.327 6.327 9.277 105.62 105.62 102.15
Atoms (fractional coordinates):
Ac 0.250 0.750 0.500
Ac 0.757 0.757 0.000
Ac 0.750 0.250 0.500
Ac 0.243 0.243 0.000
Cd 0.667 0.667 0.333
Cd 0.333 0.333 0.667
Au 0.338 0.831 0.169
Au 0.169 0.662 0.831
Au 0.662 0.169 0.831
Au 0.831 0.338 0.169
Au 0.167 0.167 0.334
Au 0.833 0.833 0.666

(20)
# Ac2CdAu

A relaxed Ac2CdAu crystal (PBE-GGA, Alexandria via LeMat-Bulk).

Output
- Energy: -3.5151 eV/atom
- ΔE to the lowest computed polymorph: 0.126 eV per atom
- Calculated volume: 36.39 Å³/atom
- Formation energy from the elements: -159.3 kJ/mol of formula units

Lattice parameters (Å, degrees): 4.439 4.439 8.906 75.57 75.57 60.00
Atoms (fractional coordinates):
Ac 0.074 0.074 0.778
Ac 0.260 0.260 0.221
Cd 0.500 0.500 0.499
Au 0.666 0.666 0.002

(21)
# Ac2CdAu6

A relaxed Ac2CdAu6 crystal (PBE-GGA, Alexandria via LeMat-Bulk).

Output
- Energy: -3.8123 eV/atom
- ΔE to the lowest computed polymorph: 0.000 eV per atom
- Calculated volume: 24.24 Å³/atom
- Formation energy from the elements: -532.1 kJ/mol of formula units

Lattice parameters (Å, degrees): 5.781 6.603 6.603 59.92 89.98 89.98
Atoms (fractional coordinates):
Ac 0.825 0.667 0.667
Ac 0.175 0.333 0.333
Cd 0.000 0.000 0.000
Au 0.323 0.369 0.816
Au 0.321 0.815 0.815
Au 0.323 0.816 0.369
Au 0.677 0.631 0.184
Au 0.679 0.185 0.185
Au 0.677 0.184 0.631

(22)
# Ac7Cd2Au2

A relaxed Ac7Cd2Au2 crystal (PBE-GGA, Alexandria via LeMat-Bulk).

Output
- Energy: -3.6120 eV/atom
- Calculated volume: 38.77 Å³/atom
- Formation energy from the elements: -249.7 kJ/mol of formula units

Lattice parameters (Å, degrees): 7.537 7.936 7.537 90.00 108.88 90.00
Atoms (fractional coordinates):
Ac 0.000 0.267 0.500
Ac 0.500 0.733 0.000
Ac 0.000 0.733 0.500
Ac 0.500 0.267 0.000
Ac 0.000 0.000 0.000
Ac 0.500 0.745 0.500
Ac 0.500 0.255 0.500
Cd 0.836 0.500 0.836
Cd 0.164 0.500 0.164
Au 0.708 0.000 0.292
Au 0.292 0.000 0.708